LiTc2Te, relaxed, DFT PBE-GGA; uncorrected formation energy = 0.179 eV per atom; crystal system = tetragonal; total DFT energy (no corrections) = -25.072 eV per cell
1.0
-2.1042 2.4114 -0.4382
-0.5121 0.1331 3.1918
4.4430 3.9765 0.5470
Tc Te Li
2 1 1
direct
0.0000 0.0000 0.9881
0.5000 0.5000 0.2285
0.0000 0.0000 0.5177
0.5000 0.5000 0.7657


LiTcTe3, relaxed, DFT PBE-GGA; energy above the most stable polymorph in this dataset = 587 meV per atom; uncorrected formation energy = 0.842 eV per atom; crystal system = cubic; total DFT energy (no corrections) = -17.494 eV per cell
1.0
5.0550 0.0000 0.0000
0.0000 5.0550 0.0000
0.0000 0.0000 5.0550
Te Li Tc
3 1 1
direct
0.0000 0.5000 0.0000
0.0000 0.0000 0.5000
0.5000 0.0000 0.0000
0.0000 0.0000 0.0000
0.5000 0.5000 0.5000


Li2TcTe, relaxed, DFT PBE-GGA; uncorrected formation energy = 0.317 eV per atom; crystal system = tetragonal; total DFT energy (no corrections) = -32.138 eV per cell
1.0
7.6493 0.0000 0.0000
0.0000 7.6493 0.0000
3.8246 3.8246 2.5859
Tc Te Li
2 2 4
direct
0.5000 0.5000 0.0000
0.2500 0.7500 0.5000
0.0000 0.0000 0.0000
0.7500 0.2500 0.5000
0.1203 0.6250 0.2500
0.8750 0.8797 0.7500
0.3750 0.3703 0.7500
0.6297 0.1250 0.2500


LiTcTe2, relaxed, DFT PBE-GGA; energy above the most stable polymorph in this dataset = 117 meV per atom; uncorrected formation energy = -0.084 eV per atom; crystal system = tetragonal; total DFT energy (no corrections) = -18.898 eV per cell
1.0
-2.1786 1.5408 2.0013
1.7627 -0.9622 2.6597
5.7153 5.1601 2.2489
Tc Te Li
1 2 1
direct
0.5000 0.7500 0.7500
0.0000 0.4754 0.5248
0.0000 0.0246 0.9752
0.5000 0.2500 0.2500


Li2TcTe, relaxed, DFT PBE-GGA; uncorrected formation energy = 0.209 eV per atom; crystal system = trigonal; total DFT energy (no corrections) = -16.500 eV per cell
1.0
8.8622 0.0507 0.0300
8.2402 3.2620 0.0300
8.2402 1.5961 2.8450
Tc Li Te
1 2 1
direct
0.4965 0.4965 0.4965
0.2420 0.2420 0.2420
0.0014 0.0014 0.0014
0.7602 0.7602 0.7602


LiTc2Te, relaxed, DFT PBE-GGA; uncorrected formation energy = 0.285 eV per atom; crystal system = monoclinic; total DFT energy (no corrections) = -24.649 eV per cell
1.0
-2.9372 2.2044 2.5465
-4.1477 1.6296 -0.3348
-2.5644 -3.9333 1.8619
Te Li Tc
1 1 2
direct
0.4965 0.4965 0.4699
0.2508 0.2508 0.2449
0.7424 0.7424 0.7959
0.0102 0.0102 0.9893


| no. | magnetic moment (μB per cell) |
| --- | --- |
| 1 | 0.0 |
| 2 | 3.6 |
| 3 | 3.7 |
| 4 | 0.0 |
| 5 | 0.0 |
| 6 | 0.0 |